A PBEsol-optimized structure of BaHg2Ir, computed with SCAN.

Cell and atoms, written as POSCAR:
```
BaHg2Ir
1.0
-2.4976 -1.5439 -3.5347
-1.0755 -4.1729 2.5826
-3.5351 3.4264 1.0013
Hg Ba Ir
2 1 1
Direct
0.0000 0.6779 0.3221 Hg
0.0000 0.3221 0.6779 Hg
0.5000 0.0000 0.0000 Ba
0.5000 0.5000 0.5000 Ir
```

Summary:
- M_tot (μB per atom) = 0.00
- energy of formation (meV per atom) = -24
- crystal system = orthorhombic
- E (eV per formula unit) = -247.08